No. 1
This record from Alexandria describes a geometry-optimized Tb2Pr6Sm3 structure. The functional is PBE.

```
Tb2Pr6Sm3
1.0
-2.407 2.407 17.216
2.407 -2.407 17.216
2.407 2.407 -17.216
Tb Pr Sm
2 6 3
Cartesian
0.000 0.000 1.535
0.000 0.000 32.897
2.407 0.000 4.105
0.000 0.000 7.085
2.407 0.000 13.111
0.000 2.407 4.105
0.000 0.000 27.347
0.000 2.407 13.111
0.000 0.000 10.522
0.000 0.000 17.216
0.000 0.000 23.909
```

Calculated values
Fermi-level density of states = 16.775 states/eV/f.u.
SG = I4/mmm (139)
total magnetic moment = 0.0000 μB/atom
energy above the lowest structure with this stoichiometry = 2.912 eV/f.u.
electronic total energy = -4.459 eV/atom

No. 2
This record from Alexandria describes a geometry-optimized TbPr3Sm6 structure. The functional is PBE.

```
TbPr3Sm6
1.0
5.517 -9.660 0.000
5.517 9.660 0.000
0.000 0.000 6.490
Tb Pr Sm
2 6 12
Cartesian
5.517 5.969 3.245
5.517 -5.969 0.000
1.938 2.244 4.243
1.938 -2.244 0.998
5.517 2.209 3.497
5.517 -2.209 0.252
9.096 2.244 4.243
9.096 -2.244 0.998
5.517 8.979 4.910
2.927 4.033 1.598
5.517 4.352 6.272
3.637 0.830 0.397
3.637 -0.830 3.642
2.927 -4.033 4.843
8.107 4.033 1.598
7.397 0.830 0.397
7.397 -0.830 3.642
5.517 -4.352 3.027
8.107 -4.033 4.843
5.517 -8.979 1.665
```

Calculated values
Fermi-level density of states = 13.079 states/eV/f.u.
SG = Cmc2_1 (36)
total magnetic moment = 0.0000 μB/atom
energy above the lowest structure with this stoichiometry = 0.000 eV/f.u.
electronic total energy = -4.589 eV/atom